(1)
## CsTePbSe3 (GGA-PBE)

Data for a relaxed structure of CsTePbSe3.

a = 10.1427 Å, b = 10.1427 Å, c = 9.8262 Å
α = 105.33°, β = 105.33°, γ = 28.03°
Sites, in units of the cell vectors:
1 Cs 0.1535 0.1535 0.0567
2 Cs 0.8465 0.8465 0.9433
3 Te 0.4817 0.4817 0.3097
4 Te 0.5183 0.5183 0.6903
5 Pb 0.1705 0.1705 0.5232
6 Pb 0.8295 0.8295 0.4768
7 Se 0.0087 0.0087 0.2294
8 Se 0.3180 0.3180 0.6540
9 Se 0.3483 0.3483 0.2454
10 Se 0.6517 0.6517 0.7546
11 Se 0.6820 0.6820 0.3460
12 Se 0.9913 0.9913 0.7706

## Properties
E_form (uncorrected)	-3.0	eV per formula unit
raw total energy	-42.27	eV/cell
density of states at the Fermi level	0.30	states/eV per atom

---

(2)
## Sr2LiPm (GGA-PBE)

Data for a relaxed structure of Sr2LiPm.

a = 4.1622 Å, b = 4.1622 Å, c = 9.1878 Å
α = 90.00°, β = 90.00°, γ = 90.00°
Sites, in units of the cell vectors:
1 Sr 0.0000 0.0000 0.2274
2 Sr 0.0000 0.0000 0.7726
3 Li 0.5000 0.5000 0.0000
4 Pm 0.5000 0.5000 0.5000

## Properties
E_form	0.1386	eV/atom
raw total energy	-9.47	eV/cell
excess energy over the best structure of this formula in the dataset	0.000	eV/f.u.
density of states at the Fermi level	1.19	states/eV per atom

---

(3)
## PdF (GGA-PBE)

Data for a relaxed structure of PdF.

a = 5.5717 Å, b = 5.5717 Å, c = 5.5717 Å
α = 113.85°, β = 113.85°, γ = 101.02°
Sites, in units of the cell vectors:
1 Pd 0.0000 0.0000 0.0000
2 Pd 0.0000 0.0000 0.5000
3 Pd 0.0000 0.5000 0.0000
4 Pd 0.5000 0.0000 0.5000
5 F 0.1849 0.4349 0.7500
6 F 0.4349 0.1849 0.2500
7 F 0.5651 0.8151 0.7500
8 F 0.8151 0.5651 0.2500

## Properties
E_form (uncorrected)	-1.5	eV per formula unit
raw total energy	-34.06	eV/cell
excess energy over the best structure of this formula in the dataset	0.000	eV/f.u.
density of states at the Fermi level	0.30	states/eV per atom

---

(4)
## BeWSe (GGA-PBE)

Data for a relaxed structure of BeWSe.

a = 4.5639 Å, b = 4.5639 Å, c = 4.5639 Å
α = 139.12°, β = 139.12°, γ = 59.19°
Sites, in units of the cell vectors:
1 Be 0.0000 0.0000 0.0000
2 W 0.6600 0.6600 0.0000
3 Se 0.3261 0.3261 0.0000

## Properties
E_form (uncorrected)	0.6	eV per formula unit
raw total energy	-19.55	eV/cell
excess energy over the best structure of this formula in the dataset	0.000	eV/f.u.
density of states at the Fermi level	0.29	states/eV per atom